1.
# Li2CdHg2Pb PBE optimized geometry
# crystal system	trigonal
# density of states at the Fermi level	1.9	states/eV/cell
# magnetization	0.00	μB/f.u.
# energy of formation	-211	meV/atom
# symmetry	P-3m1, No. 164
data_Li2CdHg2Pb
_chemical_formula_sum 'Li2 Cd1 Hg2 Pb1'
_cell_length_a 4.863
_cell_length_b 4.863
_cell_length_c 6.381
_cell_angle_alpha 90.00
_cell_angle_beta 90.00
_cell_angle_gamma 120.00
_space_group_name_H-M_alt 'P 1'
_space_group_IT_number 1
loop_
_space_group_symop_operation_xyz
'x,y,z'
loop_
_atom_site_label
_atom_site_type_symbol
_atom_site_fract_x
_atom_site_fract_y
_atom_site_fract_z
Li1 Li 0.333 0.667 0.767
Li2 Li 0.667 0.333 0.233
Cd1 Cd 0.000 0.000 0.500
Hg1 Hg 0.333 0.667 0.284
Hg2 Hg 0.667 0.333 0.716
Pb1 Pb 0.000 0.000 0.000

2.
# AlCd2Se PBE optimized geometry
# formation energy from raw total energies	80	meV/atom
# offset from the most stable computed form	1.148	eV/f.u.
# crystal system	orthorhombic
# density of states at the Fermi level	1.1	states/eV/cell
# magnetization	0.00	μB/f.u.
# symmetry	Pmmm, No. 47
data_AlCd2Se
_chemical_formula_sum 'Al1 Cd2 Se1'
_cell_length_a 3.758
_cell_length_b 4.542
_cell_length_c 5.243
_cell_angle_alpha 90.00
_cell_angle_beta 90.00
_cell_angle_gamma 90.00
_space_group_name_H-M_alt 'P 1'
_space_group_IT_number 1
loop_
_space_group_symop_operation_xyz
'x,y,z'
loop_
_atom_site_label
_atom_site_type_symbol
_atom_site_fract_x
_atom_site_fract_y
_atom_site_fract_z
Al1 Al 0.000 0.500 0.500
Se1 Se 0.500 0.000 0.500
Cd1 Cd 0.000 0.000 0.000
Cd2 Cd 0.500 0.500 0.000

3.
# Pm4DyY5 PBE optimized geometry
# offset from the most stable computed form	0.000	eV/f.u.
# crystal system	tetragonal
# density of states at the Fermi level	14.4	states/eV/cell
# magnetization	0.00	μB/f.u.
# energy of formation	18	meV/atom
# symmetry	P4/mmm, No. 123
data_Pm4DyY5
_chemical_formula_sum 'Pm4 Dy1 Y5'
_cell_length_a 3.607
_cell_length_b 3.607
_cell_length_c 25.335
_cell_angle_alpha 90.00
_cell_angle_beta 90.00
_cell_angle_gamma 90.00
_space_group_name_H-M_alt 'P 1'
_space_group_IT_number 1
loop_
_space_group_symop_operation_xyz
'x,y,z'
loop_
_atom_site_label
_atom_site_type_symbol
_atom_site_fract_x
_atom_site_fract_y
_atom_site_fract_z
Pm1 Pm 0.000 0.000 0.199
Pm2 Pm 0.000 0.000 0.400
Pm3 Pm 0.000 0.000 0.600
Pm4 Pm 0.000 0.000 0.801
Dy1 Dy 0.000 0.000 0.000
Y1 Y 0.500 0.500 0.098
Y2 Y 0.500 0.500 0.299
Y3 Y 0.500 0.500 0.500
Y4 Y 0.500 0.500 0.701
Y5 Y 0.500 0.500 0.902

Which value of magnetization does entry 3 give?
0.00 μB/f.u.

Which formula does entry 1 have?
Li2CdHg2Pb

Repeat the third record exactly.
# Pm4DyY5 PBE optimized geometry
# offset from the most stable computed form	0.000	eV/f.u.
# crystal system	tetragonal
# density of states at the Fermi level	14.4	states/eV/cell
# magnetization	0.00	μB/f.u.
# energy of formation	18	meV/atom
# symmetry	P4/mmm, No. 123
data_Pm4DyY5
_chemical_formula_sum 'Pm4 Dy1 Y5'
_cell_length_a 3.607
_cell_length_b 3.607
_cell_length_c 25.335
_cell_angle_alpha 90.00
_cell_angle_beta 90.00
_cell_angle_gamma 90.00
_space_group_name_H-M_alt 'P 1'
_space_group_IT_number 1
loop_
_space_group_symop_operation_xyz
'x,y,z'
loop_
_atom_site_label
_atom_site_type_symbol
_atom_site_fract_x
_atom_site_fract_y
_atom_site_fract_z
Pm1 Pm 0.000 0.000 0.199
Pm2 Pm 0.000 0.000 0.400
Pm3 Pm 0.000 0.000 0.600
Pm4 Pm 0.000 0.000 0.801
Dy1 Dy 0.000 0.000 0.000
Y1 Y 0.500 0.500 0.098
Y2 Y 0.500 0.500 0.299
Y3 Y 0.500 0.500 0.500
Y4 Y 0.500 0.500 0.701
Y5 Y 0.500 0.500 0.902

Number 3 is which compound?
Pm4DyY5